# Pm2Pr3Y6Er, optimized geometry, DFT PBE
data_Pm2Pr3Y6Er
_chemical_formula_sum 'Pm4 Pr6 Y12 Er2'
_cell_length_a 6.273
_cell_length_b 10.860
_cell_length_c 11.904
_cell_angle_alpha 90.00
_cell_angle_beta 100.07
_cell_angle_gamma 90.00
_space_group_name_H-M_alt 'C 1 2/m 1'
_space_group_IT_number 12
_space_group_name_Hall '-C 2y'
loop_
_atom_site_label
_atom_site_type_symbol
_atom_site_fract_x
_atom_site_fract_y
_atom_site_fract_z
Pm1 Pm 0.000 0.166 0.000
Pr1 Pr 0.000 0.000 0.500
Pr2 Pr 0.000 0.333 0.500
Y1 Y 0.249 0.334 0.247
Y2 Y 0.250 0.000 0.248
Er1 Er 0.000 0.500 0.000
# density: 5879 kg/m³
# E: -5.59 eV/atom
# formation energy: 0.16 eV per formula unit

# Sm7DyHo3, optimized geometry, DFT PBE
data_Sm7DyHo3
_chemical_formula_sum 'Sm7 Dy1 Ho3'
_cell_length_a 7.042
_cell_length_b 5.609
_cell_length_c 9.983
_cell_angle_alpha 90.00
_cell_angle_beta 110.57
_cell_angle_gamma 90.00
_space_group_name_H-M_alt 'P 1 2/m 1'
_space_group_IT_number 10
_space_group_name_Hall '-P 2y'
loop_
_atom_site_label
_atom_site_type_symbol
_atom_site_fract_x
_atom_site_fract_y
_atom_site_fract_z
Sm1 Sm 0.000 0.000 0.000
Sm2 Sm 0.146 0.500 0.292
Sm3 Sm 0.320 0.500 0.640
Sm4 Sm 0.416 0.000 0.830
Dy1 Dy 0.000 0.000 0.500
Ho1 Ho 0.279 0.500 0.000
Ho2 Ho 0.500 0.000 0.500
# relative energy among the computed polymorphs: 0.000 eV/atom
# density: 7691 kg/m³
# E: -4.55 eV/atom
# formation energy: 1.37 eV per formula unit

# In2AgGeO6, optimized geometry, DFT PBE
data_In2AgGeO6
_chemical_formula_sum 'In2 Ag1 Ge1 O6'
_cell_length_a 5.338
_cell_length_b 5.498
_cell_length_c 5.661
_cell_angle_alpha 63.21
_cell_angle_beta 89.88
_cell_angle_gamma 61.53
_space_group_name_H-M_alt 'P 1'
_space_group_IT_number 1
_space_group_name_Hall 'P 1'
loop_
_atom_site_label
_atom_site_type_symbol
_atom_site_fract_x
_atom_site_fract_y
_atom_site_fract_z
In1 In 0.000 0.000 0.000
In2 In 0.484 0.028 0.465
Ag1 Ag 0.270 0.463 0.833
Ge1 Ge 0.785 0.428 0.377
O1 O 0.047 0.260 0.175
O2 O 0.161 0.238 0.652
O3 O 0.422 0.533 0.176
O4 O 0.600 0.538 0.646
O5 O 0.721 0.844 0.199
O6 O 0.853 0.009 0.627
# formation energy (no corrections): -1.20 eV per atom
# density: 6698 kg/m³
# E: -5.47 eV/atom

# Tm2AgGe2Rh5, optimized geometry, DFT PBE
data_Tm2AgGe2Rh5
_chemical_formula_sum 'Tm4 Ag2 Ge4 Rh10'
_cell_length_a 9.730
_cell_length_b 9.730
_cell_length_c 3.583
_cell_angle_alpha 90.00
_cell_angle_beta 90.00
_cell_angle_gamma 90.00
_space_group_name_H-M_alt 'P 4/m b m'
_space_group_IT_number 127
_space_group_name_Hall '-P 4 2ab'
loop_
_atom_site_label
_atom_site_type_symbol
_atom_site_fract_x
_atom_site_fract_y
_atom_site_fract_z
Tm1 Tm 0.173 0.327 0.000
Ag1 Ag 0.000 0.000 0.000
Ge1 Ge 0.126 0.626 0.000
Rh1 Rh 0.000 0.500 0.500
Rh2 Rh 0.068 0.790 0.500
# density: 10823 kg/m³
# E: -6.47 eV/atom
# formation energy: -6.94 eV per formula unit

# CdMoHS2, optimized geometry, DFT PBE
data_CdMoHS2
_chemical_formula_sum 'Cd1 Mo1 H1 S2'
_cell_length_a 4.636
_cell_length_b 4.636
_cell_length_c 3.464
_cell_angle_alpha 90.00
_cell_angle_beta 90.00
_cell_angle_gamma 90.00
_space_group_name_H-M_alt 'P 4/m m m'
_space_group_IT_number 123
_space_group_name_Hall '-P 4 2'
loop_
_atom_site_label
_atom_site_type_symbol
_atom_site_fract_x
_atom_site_fract_y
_atom_site_fract_z
Cd1 Cd 0.000 0.000 0.000
Mo1 Mo 0.500 0.500 0.000
H1 H 0.000 0.000 0.500
S1 S 0.000 0.500 0.500
# density: 6100 kg/m³
# E: -3.98 eV/atom

# CaLaMgRh, optimized geometry, DFT PBE
data_CaLaMgRh
_chemical_formula_sum 'Ca4 La4 Mg4 Rh4'
_cell_length_a 7.382
_cell_length_b 7.382
_cell_length_c 7.382
_cell_angle_alpha 90.00
_cell_angle_beta 90.00
_cell_angle_gamma 90.00
_space_group_name_H-M_alt 'F -4 3 m'
_space_group_IT_number 216
_space_group_name_Hall 'F -4 2 3'
loop_
_atom_site_label
_atom_site_type_symbol
_atom_site_fract_x
_atom_site_fract_y
_atom_site_fract_z
Ca1 Ca 0.000 0.000 0.000
La1 La 0.000 0.000 0.500
Mg1 Mg 0.250 0.250 0.250
Rh1 Rh 0.250 0.250 0.750
# density: 5055 kg/m³
# E: -4.21 eV/atom
# formation energy: -0.98 eV per formula unit